(1)
A plane-wave DFT calculation with PBE-GGA was carried out for an optimized crystal structure of ScNb2CdIr. Values from VASP.

```
&SYSTEM
  ibrav = 0, nat = 5, ntyp = 4
/
ATOMIC_SPECIES
Sc 44.96 Sc.upf
Nb 92.91 Nb.upf
Cd 112.41 Cd.upf
Ir 192.22 Ir.upf
ATOMIC_POSITIONS angstrom
Sc 0.000 0.000 0.000
Nb 0.000 2.407 0.000
Nb 2.407 0.000 0.000
Cd 2.407 2.407 2.338
Ir 0.000 0.000 2.338
CELL_PARAMETERS angstrom
4.814 0.000 0.000
0.000 4.814 0.000
0.000 0.000 4.677
```

Total moment: 0.000 μB per cell
Formation energy: 126 kJ/mol of atoms
Volume: 21.680 Å³ per atom
DOS(E_F): 7.2 states/eV per cell
Symmetry: No. 123
Calculated density: 8.20 Mg/m³

***

(2)
A plane-wave DFT calculation with PBE-GGA was carried out for an optimized crystal structure of SrNbCdIr2. Values from VASP.

```
&SYSTEM
  ibrav = 0, nat = 5, ntyp = 4
/
ATOMIC_SPECIES
Sr 87.62 Sr.upf
Nb 92.91 Nb.upf
Cd 112.41 Cd.upf
Ir 192.22 Ir.upf
ATOMIC_POSITIONS angstrom
Sr 0.000 0.000 0.000
Nb 2.515 2.515 0.000
Cd 2.515 2.515 2.535
Ir 0.000 2.515 2.535
Ir 2.515 0.000 2.535
CELL_PARAMETERS angstrom
5.030 0.000 0.000
0.000 5.030 0.000
0.000 0.000 5.070
```

Total moment: 2.783 μB per cell
Formation energy: 137 kJ/mol of atoms
Volume: 25.653 Å³ per atom
DOS(E_F): 6.3 states/eV per cell
Symmetry: No. 123
Calculated density: 8.77 Mg/m³

***

(3)
A plane-wave DFT calculation with PBE-GGA was carried out for an optimized crystal structure of NbVCd2Ir. Values from VASP.

```
&SYSTEM
  ibrav = 0, nat = 5, ntyp = 4
/
ATOMIC_SPECIES
Nb 92.91 Nb.upf
V 50.94 V.upf
Cd 112.41 Cd.upf
Ir 192.22 Ir.upf
ATOMIC_POSITIONS angstrom
Nb 0.000 0.000 0.000
V 0.000 0.000 2.190
Cd 0.000 2.478 2.190
Cd 2.478 0.000 2.190
Ir 2.478 2.478 0.000
CELL_PARAMETERS angstrom
4.956 0.000 0.000
0.000 4.956 0.000
0.000 0.000 4.381
```

Total moment: 0.000 μB per cell
Formation energy: 135 kJ/mol of atoms
Volume: 21.518 Å³ per atom
DOS(E_F): 4.9 states/eV per cell
Symmetry: No. 123
Calculated density: 8.66 Mg/m³

***

(4)
A plane-wave DFT calculation with PBE-GGA was carried out for an optimized crystal structure of YNb2CdIr. Values from VASP.

```
&SYSTEM
  ibrav = 0, nat = 5, ntyp = 4
/
ATOMIC_SPECIES
Y 88.91 Y.upf
Nb 92.91 Nb.upf
Cd 112.41 Cd.upf
Ir 192.22 Ir.upf
ATOMIC_POSITIONS angstrom
Y 0.000 0.000 0.000
Nb 0.000 2.503 0.000
Nb 2.503 0.000 0.000
Cd 2.503 2.503 2.461
Ir 0.000 0.000 2.461
CELL_PARAMETERS angstrom
5.007 0.000 0.000
0.000 5.007 0.000
0.000 0.000 4.922
```

Total moment: 0.000 μB per cell
Formation energy: 173 kJ/mol of atoms
Volume: 24.676 Å³ per atom
DOS(E_F): 8.3 states/eV per cell
Symmetry: No. 123
Calculated density: 7.80 Mg/m³

***

(5)
A plane-wave DFT calculation with PBE-GGA was carried out for an optimized crystal structure of NbZnCdIr. Values from VASP.

```
&SYSTEM
  ibrav = 0, nat = 4, ntyp = 4
/
ATOMIC_SPECIES
Nb 92.91 Nb.upf
Zn 65.41 Zn.upf
Cd 112.41 Cd.upf
Ir 192.22 Ir.upf
ATOMIC_POSITIONS angstrom
Nb 0.000 0.000 0.000
Zn 1.607 1.607 1.607
Cd 3.214 3.214 3.214
Ir 4.821 4.821 4.821
CELL_PARAMETERS angstrom
0.000 3.214 3.214
3.214 0.000 3.214
3.214 3.214 0.000
```

Total moment: 0.000 μB per cell
Formation energy: -12 kJ/mol of atoms
Volume: 16.602 Å³ per atom
DOS(E_F): 0.4 states/eV per cell
Symmetry: No. 216
Calculated density: 11.58 Mg/m³

***

(6)
A plane-wave DFT calculation with PBE-GGA was carried out for an optimized crystal structure of Nd3CdIr8. Values from VASP.

```
&SYSTEM
  ibrav = 0, nat = 12, ntyp = 3
/
ATOMIC_SPECIES
Nd 144.24 Nd.upf
Cd 112.41 Cd.upf
Ir 192.22 Ir.upf
ATOMIC_POSITIONS angstrom
Nd 0.000 0.000 0.000
Nd 0.000 0.000 3.381
Nd 0.000 0.000 13.442
Cd 0.000 0.000 16.699
Ir -1.353 -0.781 10.559
Ir 0.000 -1.559 6.172
Ir -1.350 0.779 6.172
Ir 0.000 0.000 8.361
Ir 1.353 -0.781 10.559
Ir 0.000 1.562 10.559
Ir 1.350 0.779 6.172
Ir 0.000 0.000 21.617
CELL_PARAMETERS angstrom
2.702 1.560 8.836
-2.702 1.560 8.836
0.000 -3.120 8.836
```

Total moment: 0.000 μB per cell
Formation energy: -49 kJ/mol of atoms
Volume: 18.618 Å³ per atom
DOS(E_F): 14.5 states/eV per cell
Symmetry: No. 160
Calculated density: 15.48 Mg/m³

***

(7)
A plane-wave DFT calculation with PBE-GGA was carried out for an optimized crystal structure of Nd4CdIr2. Values from VASP.

```
&SYSTEM
  ibrav = 0, nat = 14, ntyp = 3
/
ATOMIC_SPECIES
Nd 144.24 Nd.upf
Cd 112.41 Cd.upf
Ir 192.22 Ir.upf
ATOMIC_POSITIONS angstrom
Nd 3.959 -2.966 2.942
Nd 5.231 1.629 -0.701
Nd 7.562 -0.636 1.540
Nd 1.629 0.636 1.540
Nd 1.629 3.959 0.701
Nd 2.966 0.636 5.184
Nd 5.231 2.966 2.942
Nd -0.636 2.966 3.781
Cd 4.595 0.000 2.241
Cd 0.000 0.000 4.482
Ir 2.298 1.222 -1.121
Ir 3.373 -2.298 5.603
Ir 2.298 3.373 3.362
Ir 1.222 6.893 1.121
CELL_PARAMETERS angstrom
-4.595 4.595 4.482
4.595 -4.595 4.482
4.595 4.595 -4.482
```

Energy relative to the lowest polymorph listed for this composition: 0.055 eV per atom
Total moment: 0.000 μB per cell
Formation energy: -41 kJ/mol of atoms
Volume: 27.043 Å³ per atom
DOS(E_F): 13.1 states/eV per cell
Symmetry: No. 122
Calculated density: 9.42 Mg/m³

***

(8)
A plane-wave DFT calculation with PBE-GGA was carried out for an optimized crystal structure of Nd2CdIr. Values from VASP.

```
&SYSTEM
  ibrav = 0, nat = 4, ntyp = 3
/
ATOMIC_SPECIES
Nd 144.24 Nd.upf
Cd 112.41 Cd.upf
Ir 192.22 Ir.upf
ATOMIC_POSITIONS angstrom
Nd 0.000 0.000 3.453
Nd 0.000 0.000 26.301
Cd 0.000 0.000 0.000
Ir 0.000 0.000 14.877
CELL_PARAMETERS angstrom
2.072 1.197 9.918
-2.072 1.197 9.918
0.000 -2.393 9.918
```

Energy relative to the lowest polymorph listed for this composition: 0.268 eV per atom
Total moment: 0.000 μB per cell
Formation energy: -23 kJ/mol of atoms
Volume: 36.892 Å³ per atom
DOS(E_F): 3.1 states/eV per cell
Symmetry: No. 166
Calculated density: 6.67 Mg/m³

***

Copy entry 6 word for word.
A plane-wave DFT calculation with PBE-GGA was carried out for an optimized crystal structure of Nd3CdIr8. Values from VASP.

```
&SYSTEM
  ibrav = 0, nat = 12, ntyp = 3
/
ATOMIC_SPECIES
Nd 144.24 Nd.upf
Cd 112.41 Cd.upf
Ir 192.22 Ir.upf
ATOMIC_POSITIONS angstrom
Nd 0.000 0.000 0.000
Nd 0.000 0.000 3.381
Nd 0.000 0.000 13.442
Cd 0.000 0.000 16.699
Ir -1.353 -0.781 10.559
Ir 0.000 -1.559 6.172
Ir -1.350 0.779 6.172
Ir 0.000 0.000 8.361
Ir 1.353 -0.781 10.559
Ir 0.000 1.562 10.559
Ir 1.350 0.779 6.172
Ir 0.000 0.000 21.617
CELL_PARAMETERS angstrom
2.702 1.560 8.836
-2.702 1.560 8.836
0.000 -3.120 8.836
```

Total moment: 0.000 μB per cell
Formation energy: -49 kJ/mol of atoms
Volume: 18.618 Å³ per atom
DOS(E_F): 14.5 states/eV per cell
Symmetry: No. 160
Calculated density: 15.48 Mg/m³